A plane-wave DFT calculation with PBE was carried out for a relaxed structure of Hf2ZrIn.

Geometry as POSCAR:
```
Hf2ZrIn
1.0
-1.797 2.551 -0.868
-2.319 1.096 1.978
5.288 7.398 4.753
Hf Zr In
2 1 1
Direct
0.249 0.249 0.253 Hf
0.751 0.751 0.747 Hf
0.500 0.500 0.500 Zr
0.000 0.000 0.000 In
```

Summary:
Total energy (eV per atom): -7.841
DOS at the Fermi energy (states/eV/cell): 3.88
Spin magnetization (μB/f.u.): 0.00
Volume (Å³/f.u.): 91.68
Calculated formation energy (eV/f.u.): -0.2